No. 1
DFT (PBE-GGA) results for a relaxed structure of Ho5In4O.

a = 9.405 Å, b = 9.405 Å, c = 5.593 Å
α = 90.00°, β = 90.00°, γ = 90.00°
Space group I4/m (No. 87)
Asymmetric unit:
1 Ho 0.000 0.000 0.000
2 Ho 0.130 0.215 0.500
3 In 0.043 0.345 0.000
4 O 0.000 0.000 0.500

**DOS(E_F)**: 14.4 states/eV/cell
**Energy relative to the elements, uncorrected**: -0.754 eV/atom

No. 2
DFT (PBE-GGA) results for a relaxed structure of Ho2InO.

a = 3.098 Å, b = 3.098 Å, c = 7.911 Å
α = 90.00°, β = 90.00°, γ = 90.00°
Space group P4/mmm (No. 123)
Asymmetric unit:
1 Ho 0.000 0.000 0.196
2 In 0.500 0.500 0.500
3 O 0.500 0.500 0.000

**DOS(E_F)**: 2.8 states/eV/cell
**Energy relative to the elements, uncorrected**: -1.112 eV/atom
**Energy above the most stable polymorph in this dataset**: 539 meV per atom

No. 3
DFT (PBE-GGA) results for a relaxed structure of HoInO3.

a = 5.830 Å, b = 8.243 Å, c = 5.511 Å
α = 90.00°, β = 90.00°, γ = 90.00°
Space group Pnma (No. 62)
Asymmetric unit:
1 Ho 0.064 0.250 0.024
2 In 0.000 0.000 0.500
3 O 0.073 0.750 0.352
4 O 0.191 0.578 0.812

**DOS(E_F)**: 0.0 states/eV/cell
**Energy relative to the elements, uncorrected**: -2.529 eV/atom

No. 4
DFT (PBE-GGA) results for a relaxed structure of HoInOsO6.

a = 5.4500 Å, b = 5.4500 Å, c = 9.0572 Å
α = 90.00°, β = 90.00°, γ = 120.00°
Space group P-31c (No. 163)
Asymmetric unit:
1 Ho 0.3333 0.6667 0.2500
2 In 0.0000 0.0000 0.0000
3 Os 0.3333 0.6667 0.7500
4 O 0.0409 0.3671 0.6295

**DOS(E_F)**: 7.5 states/eV/cell
**Energy relative to the elements, uncorrected**: -1.763 eV/atom

No. 5
DFT (PBE-GGA) results for a relaxed structure of HoIn2OsO8.

a = 6.938 Å, b = 7.041 Å, c = 6.597 Å
α = 90.00°, β = 90.00°, γ = 90.00°
Space group Cmmm (No. 65)
Asymmetric unit:
1 Ho 0.000 0.000 0.000
2 In 0.000 0.500 0.249
3 Os 0.000 0.000 0.500
4 O 0.000 0.185 0.289
5 O 0.192 0.500 0.000
6 O 0.222 0.500 0.500

**DOS(E_F)**: 7.0 states/eV/cell
**Energy relative to the elements, uncorrected**: -1.672 eV/atom

No. 6
DFT (PBE-GGA) results for a relaxed structure of Pm2HoInO.

a = 4.964 Å, b = 4.964 Å, c = 4.726 Å
α = 90.00°, β = 90.00°, γ = 90.00°
Space group P4/mmm (No. 123)
Asymmetric unit:
1 Pm 0.000 0.500 0.000
2 Ho 0.000 0.000 0.500
3 In 0.500 0.500 0.500
4 O 0.000 0.000 0.000

**DOS(E_F)**: 2.0 states/eV/cell
**Energy relative to the elements, uncorrected**: -1.419 eV/atom

Question: What is the DOS(E_F) in the sixth record?
Answer: 2.0 states/eV/cell